## BaAg2Rh (SCAN)

Data for BaAg2Rh at its PBEsol-relaxed geometry.

Lattice parameters (Å, degrees): 4.9788 4.9788 4.9788 60.00 60.00 60.00
Positions (direct):
1 Ag 0.2500 0.2500 0.2500
2 Ag 0.7500 0.7500 0.7500
3 Rh 0.5000 0.5000 0.5000
4 Ba 0.0000 0.0000 0.0000

Its crystal system is cubic. As for the uncorrected energy: -33.69 eV per atom. Its space group is Fm-3m, No. 225. As for the energy above the most stable polymorph in this dataset: 0.69 eV/f.u. As for the calculated formation energy: 322 meV/atom. The value obtained for the magnetic moment is 0.00 Bohr magnetons per cell.